# 1
La2MgCu | PBE | relaxed

Cell lengths 3.772, 3.776, 8.631 Å; angles 63.99, 90.00, 90.00 degrees
Element x y z (fractional)
Mg: 0.500 0.250 0.250
Cu: 0.500 0.750 0.750
La: 0.000 0.032 0.968
La: 0.000 0.468 0.532

Output
Space-group type = P2/m (10)
Formation energy from the elements = -0.114 eV per atom
Calculated volume = 27.62 Å³ per atom

---

# 2
LaMgCu2 | PBE | relaxed

Cell lengths 5.354, 5.354, 5.186 Å; angles 73.08, 73.08, 35.19 degrees
Element x y z (fractional)
Cu: 0.029 0.029 0.017
Cu: 0.715 0.715 0.773
La: 0.481 0.481 0.539
Mg: 0.275 0.275 0.171

Output
Space-group type = Cm (8)
Formation energy from the elements = 0.002 eV per atom
Calculated volume = 20.40 Å³ per atom

---

# 3
LaMg2Cu2 | PBE | relaxed

Cell lengths 8.156, 8.156, 2.953 Å; angles 90.00, 90.00, 90.00 degrees
Element x y z (fractional)
Mg: 0.376 0.876 0.000
Mg: 0.876 0.624 0.000
Mg: 0.624 0.124 0.000
Mg: 0.124 0.376 0.000
Cu: 0.171 0.671 0.500
Cu: 0.671 0.829 0.500
Cu: 0.829 0.329 0.500
Cu: 0.329 0.171 0.500
La: 0.000 0.000 0.000
La: 0.500 0.500 0.000

Output
Space-group type = P4/mbm (127)
Formation energy from the elements = -0.011 eV per atom
Calculated volume = 19.64 Å³ per atom

---

# 4
LaMg3Cu | PBE | relaxed

Cell lengths 6.204, 6.204, 6.204 Å; angles 90.00, 90.00, 90.00 degrees
Element x y z (fractional)
Mg: 0.000 0.500 0.000
Mg: 0.000 0.000 0.500
Mg: 0.500 0.000 0.000
Cu: 0.500 0.500 0.500
La: 0.000 0.000 0.000

Output
Space-group type = Pm-3m (221)
Formation energy from the elements = 1.432 eV per atom
Calculated volume = 47.77 Å³ per atom

---

# 5
LaMg7Cu5 | PBE | relaxed

Cell lengths 5.330, 7.212, 7.212 Å; angles 82.23, 68.32, 68.32 degrees
Element x y z (fractional)
La: 0.017 0.983 0.983
Mg: 0.662 0.338 0.338
Mg: 0.348 0.652 0.652
Mg: 0.986 0.360 0.667
Mg: 0.986 0.667 0.360
Mg: 0.276 0.224 0.224
Mg: 0.506 0.787 0.202
Mg: 0.506 0.202 0.787
Cu: 0.495 0.997 0.508
Cu: 0.000 0.997 0.508
Cu: 0.495 0.508 0.997
Cu: 0.000 0.508 0.997
Cu: 0.722 0.778 0.778

Output
Space-group type = Imm2 (44)
Formation energy from the elements = -0.108 eV per atom
Calculated volume = 18.41 Å³ per atom

---

# 6
LaMg2Cu2 | PBE | relaxed

Cell lengths 7.598, 7.598, 3.660 Å; angles 90.00, 90.00, 90.00 degrees
Element x y z (fractional)
Mg: 0.160 0.660 0.500
Mg: 0.660 0.840 0.500
Mg: 0.840 0.340 0.500
Mg: 0.340 0.160 0.500
Cu: 0.383 0.883 0.000
Cu: 0.883 0.617 0.000
Cu: 0.617 0.117 0.000
Cu: 0.117 0.383 0.000
La: 0.000 0.000 0.000
La: 0.500 0.500 0.000

Output
Space-group type = P4/mbm (127)
Formation energy from the elements = -0.018 eV per atom
Calculated volume = 21.13 Å³ per atom

---

# 7
LaMg3Cu | PBE | relaxed

Cell lengths 4.960, 4.960, 4.960 Å; angles 90.00, 90.00, 90.00 degrees
Element x y z (fractional)
Mg: 0.000 0.500 0.000
Mg: 0.000 0.000 0.500
Mg: 0.500 0.000 0.000
Cu: 0.000 0.000 0.000
La: 0.500 0.500 0.500

Output
Space-group type = Pm-3m (221)
Formation energy from the elements = -0.048 eV per atom
Calculated volume = 24.41 Å³ per atom

---

# 8
La2MgCu | PBE | relaxed

Cell lengths 8.586, 8.586, 6.844 Å; angles 51.15, 51.15, 90.00 degrees
Element x y z (fractional)
Mg: 0.500 0.500 0.000
Mg: 0.250 0.750 0.500
Cu: 0.000 0.000 0.000
Cu: 0.750 0.250 0.500
La: 0.679 0.125 0.250
La: 0.071 0.625 0.250
La: 0.375 0.321 0.750
La: 0.875 0.929 0.750

Output
Space-group type = I-42d (122)
Formation energy from the elements = 0.118 eV per atom
Calculated volume = 29.11 Å³ per atom

---

# 9
LaMg3Cu | PBE | relaxed

Cell lengths 5.674, 5.990, 7.580 Å; angles 90.00, 112.64, 90.00 degrees
Element x y z (fractional)
La: 0.730 0.948 0.902
La: 0.304 0.448 0.658
Mg: 0.857 0.448 0.168
Mg: 0.177 0.948 0.392
Mg: 0.730 0.193 0.482
Mg: 0.730 0.703 0.482
Mg: 0.304 0.693 0.079
Mg: 0.304 0.203 0.079
Cu: 0.888 0.448 0.818
Cu: 0.146 0.948 0.742

Output
Space-group type = P2_1/m (11)
Formation energy from the elements = -0.114 eV per atom
Calculated volume = 23.78 Å³ per atom

---

# 10
LaMgCu10 | PBE | relaxed

Cell lengths 4.106, 5.033, 8.710 Å; angles 90.00, 90.00, 90.00 degrees
Element x y z (fractional)
La: 0.000 0.500 0.500
Mg: 0.000 0.000 0.000
Cu: 0.000 0.000 0.314
Cu: 0.000 0.500 0.846
Cu: 0.000 0.500 0.154
Cu: 0.000 0.000 0.686
Cu: 0.500 0.000 0.500
Cu: 0.500 0.500 0.000
Cu: 0.500 0.248 0.243
Cu: 0.500 0.752 0.757
Cu: 0.500 0.752 0.243
Cu: 0.500 0.248 0.757

Output
Space-group type = Pmmm (47)
Formation energy from the elements = -0.096 eV per atom
Calculated volume = 15.00 Å³ per atom

---

# 11
La3MgCu | PBE | relaxed

Cell lengths 5.638, 5.638, 5.638 Å; angles 90.00, 90.00, 90.00 degrees
Each line ends with the local moment (μB).
Element x y z (fractional)
Mg: 0.500 0.500 0.500  0.03
Cu: 0.000 0.000 0.000  0.08
La: 0.000 0.500 0.000  0.28
La: 0.000 0.000 0.500  0.21
La: 0.500 0.000 0.000  0.35

Output
Space-group type = Pm-3m (221)
Formation energy from the elements = 0.159 eV per atom
Calculated volume = 35.84 Å³ per atom

---

# 12
La3MgCu3 | PBE | relaxed

Cell lengths 4.572, 5.685, 14.342 Å; angles 90.00, 90.00, 113.71 degrees
Element x y z (fractional)
La: 0.195 0.391 0.895
La: 0.805 0.609 0.105
La: 0.195 0.391 0.605
La: 0.805 0.609 0.395
La: 0.475 0.950 0.750
La: 0.525 0.050 0.250
Mg: 0.500 0.000 0.000
Mg: 0.500 0.000 0.500
Cu: 0.902 0.804 0.901
Cu: 0.098 0.196 0.099
Cu: 0.902 0.804 0.599
Cu: 0.098 0.196 0.401
Cu: 0.771 0.541 0.750
Cu: 0.229 0.459 0.250

Output
Space-group type = Cmcm (63)
Formation energy from the elements = -0.161 eV per atom
Calculated volume = 24.38 Å³ per atom

---

# 13
La2MgCu2 | PBE | relaxed

Cell lengths 7.928, 7.928, 3.942 Å; angles 90.00, 90.00, 90.00 degrees
Element x y z (fractional)
Mg: 0.000 0.000 0.000
Mg: 0.500 0.500 0.000
Cu: 0.379 0.879 0.000
Cu: 0.879 0.621 0.000
Cu: 0.621 0.121 0.000
Cu: 0.121 0.379 0.000
La: 0.172 0.672 0.500
La: 0.672 0.828 0.500
La: 0.828 0.328 0.500
La: 0.328 0.172 0.500

Output
Space-group type = P4/mbm (127)
Formation energy from the elements = -0.199 eV per atom
Calculated volume = 24.78 Å³ per atom

---

# 14
La2MgCu | PBE | relaxed

Cell lengths 6.124, 6.124, 6.124 Å; angles 136.51, 136.51, 63.20 degrees
Element x y z (fractional)
Cu: 0.750 0.250 0.500
La: 0.000 0.000 0.000
La: 0.250 0.750 0.500
Mg: 0.500 0.500 0.000

Output
Space-group type = I-4m2 (119)
Formation energy from the elements = 0.051 eV per atom
Calculated volume = 26.85 Å³ per atom

---

# 15
LaMgCu5 | PBE | relaxed

Cell lengths 5.154, 8.415, 10.592 Å; angles 90.00, 90.00, 90.00 degrees
Element x y z (fractional)
La: 0.250 0.246 0.939
La: 0.750 0.254 0.439
La: 0.250 0.746 0.561
La: 0.750 0.754 0.061
Mg: 0.250 0.861 0.862
Mg: 0.750 0.639 0.362
Mg: 0.250 0.361 0.638
Mg: 0.750 0.139 0.138
Cu: 0.250 0.585 0.016
Cu: 0.750 0.915 0.516
Cu: 0.250 0.085 0.484
Cu: 0.750 0.415 0.984
Cu: 0.750 0.316 0.756
Cu: 0.250 0.184 0.256
Cu: 0.750 0.816 0.744
Cu: 0.250 0.684 0.244
Cu: 0.250 0.947 0.110
Cu: 0.750 0.553 0.610
Cu: 0.250 0.447 0.390
Cu: 0.750 0.053 0.890
Cu: 0.998 0.432 0.187
Cu: 0.002 0.068 0.687
Cu: 0.502 0.932 0.313
Cu: 0.498 0.568 0.813
Cu: 0.002 0.568 0.813
Cu: 0.998 0.932 0.313
Cu: 0.498 0.068 0.687
Cu: 0.502 0.432 0.187

Output
Space-group type = Pnma (62)
Formation energy from the elements = -0.191 eV per atom
Calculated volume = 16.41 Å³ per atom

---

# 16
La8MgCu2 | PBE | relaxed

Cell lengths 5.487, 8.626, 8.766 Å; angles 117.27, 108.24, 90.00 degrees
Element x y z (fractional)
La: 0.609 0.469 0.217
La: 0.311 0.027 0.623
La: 0.153 0.230 0.307
La: 0.068 0.731 0.136
La: 0.847 0.770 0.693
La: 0.689 0.973 0.377
La: 0.391 0.531 0.783
La: 0.932 0.269 0.864
Mg: 0.500 0.000 0.000
Cu: 0.222 0.628 0.445
Cu: 0.778 0.372 0.555

Output
Space-group type = C2/m (12)
Formation energy from the elements = -0.036 eV per atom
Calculated volume = 31.38 Å³ per atom

---

# 17
La2MgCu2 | PBE | relaxed

Cell lengths 3.556, 3.556, 10.247 Å; angles 80.01, 80.01, 90.00 degrees
Element x y z (fractional)
Mg: 0.000 0.000 0.000
Cu: 0.750 0.250 0.500
Cu: 0.250 0.750 0.500
La: 0.376 0.376 0.248
La: 0.624 0.624 0.752

Output
Space-group type = I4/mmm (139)
Formation energy from the elements = 0.031 eV per atom
Calculated volume = 25.13 Å³ per atom

---

# 18
LaMgCu2 | PBE | relaxed

Cell lengths 3.301, 3.303, 7.409 Å; angles 90.00, 90.00, 90.00 degrees
Element x y z (fractional)
Cu: 0.000 0.000 0.034
Cu: 0.500 0.500 0.184
La: 0.000 0.000 0.456
Mg: 0.500 0.500 0.825

Output
Space-group type = P4mm (99)
Formation energy from the elements = -0.033 eV per atom
Calculated volume = 20.19 Å³ per atom

---

# 19
LaMgCu2 | PBE | relaxed

Cell lengths 7.754, 4.963, 3.315 Å; angles 90.02, 64.65, 129.66 degrees
Element x y z (fractional)
Cu: 0.000 0.000 0.000
Cu: 0.500 0.000 0.500
La: 0.000 0.500 0.500
Mg: 0.500 0.500 0.000

Output
Space-group type = Cmmm (65)
Formation energy from the elements = -0.020 eV per atom
Calculated volume = 20.41 Å³ per atom

---

# 20
LaMgCu2 | PBE | relaxed

Cell lengths 5.813, 5.813, 5.813 Å; angles 147.27, 128.98, 61.95 degrees
Element x y z (fractional)
Cu: 0.968 0.968 0.000
Cu: 0.784 0.284 0.500
La: 0.522 0.522 0.000
Mg: 0.226 0.726 0.500

Output
Space-group type = Imm2 (44)
Formation energy from the elements = 0.012 eV per atom
Calculated volume = 20.44 Å³ per atom

---

# 21
LaMgCu2N | PBE | relaxed

Cell lengths 4.272, 6.350, 4.272 Å; angles 90.00, 90.00, 90.00 degrees
Element x y z (fractional)
Mg: 0.000 0.000 0.000
N: 0.500 0.500 0.500
Cu: 0.000 0.000 0.500
Cu: 0.500 0.000 0.000
La: 0.000 0.500 0.000

Output
Space-group type = P4/mmm (123)
Calculated volume = 23.17 Å³ per atom
Formation energy from raw total energies = 5.8 eV/f.u.

---

# 22
LaMgCuN2 | PBE | relaxed

Cell lengths 4.194, 5.771, 6.190 Å; angles 101.48, 90.00, 90.00 degrees
Element x y z (fractional)
La: 0.242 0.500 0.750
La: 0.758 0.500 0.250
Mg: 0.477 0.000 0.250
Mg: 0.523 0.000 0.750
Cu: 0.000 0.000 0.000
Cu: 0.000 0.000 0.500
N: 0.694 0.753 0.959
N: 0.694 0.247 0.541
N: 0.306 0.753 0.459
N: 0.306 0.247 0.041

Output
Space-group type = P2/c (13)
Calculated volume = 14.68 Å³ per atom
Formation energy from raw total energies = -3.4 eV/f.u.

---

# 23
LaNdMgCu | PBE | relaxed

Cell lengths 5.349, 5.349, 5.349 Å; angles 60.00, 60.00, 60.00 degrees
Element x y z (fractional)
Mg: 0.250 0.250 0.250
Nd: 0.000 0.000 0.000
Cu: 0.750 0.750 0.750
La: 0.500 0.500 0.500

Output
Space-group type = F-43m (216)
Formation energy from the elements = -0.034 eV per atom
Calculated volume = 27.06 Å³ per atom

---

# 24
LaMgCuNi | PBE | relaxed

Cell lengths 4.816, 4.816, 4.816 Å; angles 60.00, 60.00, 60.00 degrees
Element x y z (fractional)
Ni: 0.750 0.750 0.750
Mg: 0.500 0.500 0.500
Cu: 0.250 0.250 0.250
La: 0.000 0.000 0.000

Output
Space-group type = F-43m (216)
Formation energy from the elements = -0.150 eV per atom
Calculated volume = 19.75 Å³ per atom